The following is a GGA-PBE calculation of a relaxed TbDyGaRu crystal, from Alexandria.

Output
Energy above the lowest structure with this stoichiometry ... 15 kJ/mol of formula units
Energy of formation ... -447 meV/atom
E_tot ... -5.831 eV/atom

Cell: 4.943 4.943 4.943 Å, 60.00 60.00 60.00°
Positions (direct):
Tb1 0.000 0.000 0.000
Dy1 0.500 0.500 0.500
Ga1 0.750 0.750 0.750
Ru1 0.250 0.250 0.250